VASP calculation (PBE) on an optimized crystal structure of BaHfSN2.

The calculation puts the polymorph energy (0 for the lowest one) at 0.0 meV/atom. For the formation energy (no corrections), the calculation gives -0.818 eV/atom. Its crystal system is tetragonal.

The space group is P4/mmm (No. 123) and the conventional cell measures 4.329, 4.329 and 5.126 Å, with angles of 90.00, 90.00 and 90.00 degrees. The inequivalent atoms are Ba at (0.000, 0.000, 0.000), Hf at (0.500, 0.500, 0.500), S at (0.500, 0.500, 0.000) and N at (0.000, 0.500, 0.500).